Below is a geometry-optimized LaTcTe2 structure, with properties calculated at the PBE level.

Results
Magnetization, μB/cell: 0.000
Offset from the most stable computed form, meV/atom: 49
Raw formation energy, eV/atom: -0.75

Cell lengths 4.333, 7.421, 7.575 Å; angles 96.87, 103.52, 93.82 degrees
Space group P1 (No. 1)
Inequivalent atoms, fractional coordinates:
1 La 0.000 0.000 0.000 x1
2 La 0.179 0.538 0.420 x1
3 Tc 0.038 0.273 0.748 x1
4 Tc 0.530 0.366 0.924 x1
5 Te 0.409 0.018 0.645 x1
6 Te 0.556 0.694 0.146 x1
7 Te 0.618 0.227 0.259 x1
8 Te 0.807 0.600 0.741 x1